(1)
This record from Alexandria describes RbNb2CoSe after structural relaxation. The functional is PBE.

Cell lengths 4.986, 4.986, 4.524 Å; angles 90.00, 90.00, 90.00 degrees
Space group P4/mmm (No. 123)
One atom of each set of equivalent atoms:
Rb  0.000  0.000  0.000 (multiplicity 1)
Nb  0.000  0.500  0.500 (multiplicity 2)
Co  0.500  0.500  0.000 (multiplicity 1)
Se  0.500  0.500  0.500 (multiplicity 1)

- Uncorrected formation energy: 1092 meV/atom

(2)
This record from Alexandria describes RbNbCoTe2 after structural relaxation. The functional is PBE.

Cell lengths 6.098, 6.098, 4.576 Å; angles 90.00, 90.00, 90.00 degrees
Space group P4/mmm (No. 123)
One atom of each set of equivalent atoms:
Rb  0.000  0.000  0.000 (multiplicity 1)
Nb  0.500  0.500  0.500 (multiplicity 1)
Co  0.000  0.000  0.500 (multiplicity 1)
Te  0.000  0.500  0.000 (multiplicity 2)

- Uncorrected formation energy: 1931 meV/atom

(3)
This record from Alexandria describes RbNbCoW2 after structural relaxation. The functional is PBE.

Cell lengths 4.594, 4.594, 4.921 Å; angles 90.00, 90.00, 90.00 degrees
Space group P4/mmm (No. 123)
One atom of each set of equivalent atoms:
Rb  0.000  0.000  0.000 (multiplicity 1)
Nb  0.500  0.500  0.000 (multiplicity 1)
Co  0.000  0.000  0.500 (multiplicity 1)
W  0.000  0.500  0.500 (multiplicity 2)

- Energy relative to the elements: 2.19 eV/atom

(4)
This record from Alexandria describes RbZrNbCo2 after structural relaxation. The functional is PBE.

Cell lengths 4.595, 4.595, 5.210 Å; angles 90.00, 90.00, 90.00 degrees
Space group P4/mmm (No. 123)
One atom of each set of equivalent atoms:
Rb  0.000  0.000  0.000 (multiplicity 1)
Zr  0.000  0.000  0.500 (multiplicity 1)
Nb  0.500  0.500  0.000 (multiplicity 1)
Co  0.000  0.500  0.500 (multiplicity 2)

- Energy relative to the elements: 2.03 eV/atom

(5)
This record from Alexandria describes NbCoRe after structural relaxation. The functional is PBE.

Cell lengths 3.190, 3.190, 8.828 Å; angles 90.00, 90.00, 90.00 degrees
Space group I4mm (No. 107)
One atom of each set of equivalent atoms:
Nb  0.000  0.000  0.000 (multiplicity 2)
Co  0.000  0.000  0.669 (multiplicity 2)
Re  0.000  0.000  0.330 (multiplicity 2)

- E above lowest polymorph: 0.0474 eV/atom
- Energy relative to the elements: 0.12 eV/atom

(6)
This record from Alexandria describes NbCoRe2 after structural relaxation. The functional is PBE.

Cell lengths 2.7322, 2.7322, 28.4894 Å; angles 90.00, 90.00, 120.00 degrees
Space group R-3m (No. 166, hexagonal axes)
One atom of each set of equivalent atoms:
Nb  0.0000  0.0000  0.0000 (multiplicity 3)
Co  0.0000  0.0000  0.5000 (multiplicity 3)
Re  0.0000  0.0000  0.0943 (multiplicity 6)

- E above lowest polymorph: 0.3174 eV/atom
- Energy relative to the elements: 0.52 eV/atom

What did the first record say?
This record from Alexandria describes RbNb2CoSe after structural relaxation. The functional is PBE.

Cell lengths 4.986, 4.986, 4.524 Å; angles 90.00, 90.00, 90.00 degrees
Space group P4/mmm (No. 123)
One atom of each set of equivalent atoms:
Rb  0.000  0.000  0.000 (multiplicity 1)
Nb  0.000  0.500  0.500 (multiplicity 2)
Co  0.500  0.500  0.000 (multiplicity 1)
Se  0.500  0.500  0.500 (multiplicity 1)

- Uncorrected formation energy: 1092 meV/atom